(1)
# La2Pr7Nd | Alexandria | PBE-GGA | optimized geometry
data_La2Pr7Nd
_space_group_name_H-M_alt 'P -1'
_space_group_IT_number 2
_cell_length_a 6.433
_cell_length_b 6.452
_cell_length_c 9.847
_cell_angle_alpha 109.09
_cell_angle_beta 102.51
_cell_angle_gamma 99.70
loop_
_space_group_symop_operation_xyz
'x,y,z'
'-x,-y,-z'
loop_
_atom_site_label
_atom_site_type_symbol
_atom_site_fract_x
_atom_site_fract_y
_atom_site_fract_z
La1 La 0.100 0.199 0.201
Pr1 Pr 0.200 0.400 0.900
Pr2 Pr 0.299 0.600 0.600
Pr3 Pr 0.401 0.800 0.301
Pr4 Pr 0.500 0.000 0.000
Nd1 Nd 0.000 0.000 0.500
# E in eV/atom: -4.79
# Theoretical density in g/cm3: 6.42
# E above lowest polymorph in eV per formula unit: 0.00
# Formation enthalpy at 0 K in meV/atom: 13
# Total magnetic moment in μB/f.u.: 0.00
# Volume in Å³ per cell: 364.1


(2)
# Zr2SbPb | Alexandria | PBE-GGA | optimized geometry
data_Zr2SbPb
_space_group_name_H-M_alt 'F -4 3 m'
_space_group_IT_number 216
_space_group_name_Hall 'F -4 2 3'
_cell_length_a 7.343
_cell_length_b 7.343
_cell_length_c 7.343
_cell_angle_alpha 90.00
_cell_angle_beta 90.00
_cell_angle_gamma 90.00
loop_
_atom_site_label
_atom_site_type_symbol
_atom_site_fract_x
_atom_site_fract_y
_atom_site_fract_z
Zr1 Zr 0.000 0.000 0.000
Zr2 Zr 0.250 0.250 0.250
Sb1 Sb 0.250 0.250 0.750
Pb1 Pb 0.000 0.000 0.500
# E in eV/atom: -6.10
# Theoretical density in g/cm3: 8.58
# E above lowest polymorph in eV per formula unit: 1.91
# E_form (uncorrected) in meV per atom: 133.6
# Total magnetic moment in μB/f.u.: 1.57
# Volume in Å³ per cell: 396.0


(3)
# Y4BeHg | Alexandria | PBE-GGA | optimized geometry
data_Y4BeHg
_space_group_name_H-M_alt 'F -4 3 m'
_space_group_IT_number 216
_space_group_name_Hall 'F -4 2 3'
_cell_length_a 8.797
_cell_length_b 8.797
_cell_length_c 8.797
_cell_angle_alpha 90.00
_cell_angle_beta 90.00
_cell_angle_gamma 90.00
loop_
_atom_site_label
_atom_site_type_symbol
_atom_site_fract_x
_atom_site_fract_y
_atom_site_fract_z
Y1 Y 0.125 0.125 0.125
Be1 Be 0.250 0.250 0.750
Hg1 Hg 0.000 0.000 0.500
# E in eV/atom: -4.33
# Theoretical density in g/cm3: 5.51
# Formation enthalpy at 0 K in meV/atom: 651
# Total magnetic moment in μB/f.u.: 0.00
# Volume in Å³ per cell: 680.9


(4)
# BaCa2W | Alexandria | PBE-GGA | optimized geometry
data_BaCa2W
_space_group_name_H-M_alt 'P 1 m 1'
_space_group_IT_number 6
_cell_length_a 3.477
_cell_length_b 4.464
_cell_length_c 8.700
_cell_angle_alpha 90.00
_cell_angle_beta 90.03
_cell_angle_gamma 90.00
loop_
_space_group_symop_operation_xyz
'x,y,z'
'x,-y,z'
loop_
_atom_site_label
_atom_site_type_symbol
_atom_site_fract_x
_atom_site_fract_y
_atom_site_fract_z
Ba1 Ba 0.000 0.000 0.000
Ca1 Ca 0.002 0.000 0.396
Ca2 Ca 0.502 0.500 0.635
W1 W 0.501 0.500 0.249
# E in eV/atom: -3.76
# Theoretical density in g/cm3: 4.94
# E above lowest polymorph in eV per formula unit: 0.43
# Formation enthalpy at 0 K in meV/atom: 959
# Total magnetic moment in μB/f.u.: 0.00
# Volume in Å³ per cell: 135.0


(5)
# CePuSb | Alexandria | PBE-GGA | optimized geometry
data_CePuSb
_space_group_name_H-M_alt 'P 63/m m c'
_space_group_IT_number 194
_space_group_name_Hall '-P 6c 2c'
_cell_length_a 5.4857
_cell_length_b 5.4857
_cell_length_c 6.4068
_cell_angle_alpha 90.00
_cell_angle_beta 90.00
_cell_angle_gamma 120.00
loop_
_atom_site_label
_atom_site_type_symbol
_atom_site_fract_x
_atom_site_fract_y
_atom_site_fract_z
Ce1 Ce 0.3333 0.6667 0.2500
Pu1 Pu 0.0000 0.0000 0.0000
Sb1 Sb 0.3333 0.6667 0.7500
# E in eV/atom: -8.74
# Theoretical density in g/cm3: 10.06
# E above lowest polymorph in eV per formula unit: 0.04
# E_form (uncorrected) in meV per atom: -614.2
# Total magnetic moment in μB/f.u.: 7.86
# Volume in Å³ per cell: 167.0


(6)
# Tb12Pb3N5 | Alexandria | PBE-GGA | optimized geometry
data_Tb12Pb3N5
_space_group_name_H-M_alt 'I a -3 d'
_space_group_IT_number 230
_space_group_name_Hall '-I 4bd 2c 3'
_cell_length_a 15.780
_cell_length_b 15.780
_cell_length_c 15.780
_cell_angle_alpha 90.00
_cell_angle_beta 90.00
_cell_angle_gamma 90.00
loop_
_atom_site_label
_atom_site_type_symbol
_atom_site_fract_x
_atom_site_fract_y
_atom_site_fract_z
Tb1 Tb 0.039 0.048 0.647
Pb1 Pb 0.000 0.250 0.125
N1 N 0.000 0.000 0.000
N2 N 0.000 0.250 0.375
# E in eV/atom: -6.28
# Theoretical density in g/cm3: 8.79
# E_form (uncorrected) in meV per atom: -864.3
# Total magnetic moment in μB/f.u.: 0.00
# Volume in Å³ per cell: 3929.4